No. 1
BAuSeN2 after structural relaxation, computed with PBE.

Unit cell a=3.3728 b=3.3728 c=7.8708 alpha=90.00 beta=90.00 gamma=90.00
With the nearest neighbours (Å) after each atom.
Element x y z (fractional)
Se  0.0000  0.0000  0.5000  4 Au 2.38
N  0.0000  0.5000  0.0000  2 B 1.69
N  0.5000  0.0000  0.0000  2 B 1.69
B  0.0000  0.0000  0.0000  4 N 1.69
Au  0.5000  0.5000  0.5000  4 Se 2.38

**Distance to the lowest polymorph of the same formula**: 0.000 eV/atom
**V**: 89.54 Å³ per cell
**Symmetry**: P4/mmm, No. 123
**DOS(E_F)**: 0.678 states/eV/atom

---

No. 2
BaS2O after structural relaxation, computed with PBE.

Unit cell a=5.7104 b=5.7104 c=5.7104 alpha=45.44 beta=45.44 gamma=45.44
With the nearest neighbours (Å) after each atom.
Element x y z (fractional)
S  0.8114  0.8114  0.8114  3 O 2.57, 3 S 2.63
S  0.1886  0.1886  0.1886  3 O 2.57, 3 S 2.63
Ba  0.0000  0.0000  0.0000  2 S 2.89
O  0.5000  0.5000  0.5000  6 S 2.57

**Electronic total energy**: -4.079 eV per atom
**V**: 86.11 Å³ per cell
**Symmetry**: R-3m, No. 166
**DOS(E_F)**: 0.542 states/eV/atom

---

No. 3
BeReTc2O after structural relaxation, computed with PBE.

Unit cell a=4.0208 b=3.9913 c=4.0208 alpha=90.00 beta=90.00 gamma=90.00
With the nearest neighbours (Å) after each atom.
Element x y z (fractional)
Tc  0.5000  0.0000  0.0000  2 O 2.01
Tc  0.0000  0.0000  0.5000  2 O 2.01
Be  0.5000  0.5000  0.5000  8 Tc 2.83, 4 Re 2.84
Re  0.0000  0.5000  0.0000  2 O 2.00
O  0.0000  0.0000  0.0000  2 Re 2.00, 4 Tc 2.01

**Electronic total energy**: -8.052 eV per atom
**V**: 64.53 Å³ per cell
**Symmetry**: P4/mmm, No. 123
**DOS(E_F)**: 1.043 states/eV/atom

---

No. 4
LiAc2Pm after structural relaxation, computed with PBE.

Unit cell a=5.9424 b=5.9424 c=5.9424 alpha=60.00 beta=60.00 gamma=60.00
With the nearest neighbours (Å) after each atom.
Element x y z (fractional)
Pm  0.0000  0.0000  0.0000  8 Ac 3.64
Li  0.5000  0.5000  0.5000  8 Ac 3.64
Ac  0.2500  0.2500  0.2500  4 Li 3.64, 4 Pm 3.64
Ac  0.7500  0.7500  0.7500  4 Li 3.64, 4 Pm 3.64

**Distance to the lowest polymorph of the same formula**: 0.077 eV/atom
**Calculated formation energy**: 0.14 eV/atom
**V**: 148.38 Å³ per cell
**Symmetry**: Fm-3m, No. 225
**DOS(E_F)**: 1.007 states/eV/atom

---

No. 5
LiSeCl2 after structural relaxation, computed with PBE.

Unit cell a=9.1528 b=9.1528 c=9.1528 alpha=21.87 beta=21.87 gamma=21.87
With the nearest neighbours (Å) after each atom.
Element x y z (fractional)
Cl  0.0806  0.0806  0.0806  1 Li 2.16
Cl  0.9194  0.9194  0.9194  1 Li 2.16
Li  0.0000  0.0000  0.0000  2 Cl 2.16
Se  0.5000  0.5000  0.5000  6 Cl 3.06

**Distance to the lowest polymorph of the same formula**: 0.624 eV/atom
**V**: 93.26 Å³ per cell
**Symmetry**: R-3m, No. 166
**DOS(E_F)**: 0.868 states/eV/atom

---

No. 6
Pr4Te2PtCl after structural relaxation, computed with PBE.

Unit cell a=4.2606 b=7.8257 c=7.6099 alpha=71.32 beta=90.00 gamma=90.00
With the nearest neighbours (Å) after each atom.
Element x y z (fractional)
Pr  0.5000  0.2806  0.7228  2 Pt 2.91, 1 Cl 3.12, 1 Te 3.18
Pr  0.0000  0.7319  0.7495  1 Pt 3.02, 2 Cl 3.04, 3 Te 3.16-3.26
Pr  0.5000  0.7194  0.2772  2 Pt 2.91, 1 Cl 3.12, 1 Te 3.18
Pr  0.0000  0.2681  0.2505  1 Pt 3.02, 2 Cl 3.04, 3 Te 3.16-3.26
Te  0.0000  0.0000  0.0000  6 Pr 3.26-3.29
Te  0.5000  0.0000  0.5000  6 Pr 3.16-3.18
Cl  0.5000  0.5000  0.0000  6 Pr 3.04-3.12
Pt  0.0000  0.5000  0.5000  6 Pr 2.91-3.02

**Electronic total energy**: -5.524 eV per atom
**V**: 240.37 Å³ per cell
**Symmetry**: P2/m, No. 10
**DOS(E_F)**: 0.699 states/eV/atom

---

The ρ results, record by record, are as follows: 5.8; 4.2; 10.5; 6.8; 2.8; 7.2 Mg/m³.